A plane-wave DFT calculation with PBE-GGA was carried out for crystalline CeThBr4 at its relaxed geometry.

The structure in POSCAR format:
```
CeThBr4
1.0
8.573 -1.897 0.000
8.573 1.897 0.000
-2.469 0.000 6.161
Ce Th Br
1 1 4
Direct
0.000 0.000 0.000 Ce
0.500 0.500 0.500 Th
0.131 0.131 0.459 Br
0.372 0.372 0.046 Br
0.628 0.628 0.954 Br
0.869 0.869 0.541 Br
```

## Properties
For the size of the total moment, the calculation gives 1.86 μB/cell. As for the volume: 200.4 Å³/cell. Its formation energy without anion corrections is -8.99 eV/f.u. The density of states at the Fermi level is 0.985 states/eV/atom.